Computed, not measured: crystalline Pr4MgNi2 at its relaxed geometry at the PBE-GGA level of DFT.

The value obtained for the energy is -4.65 eV per atom. As for the theoretical density: 6.08 g/cm3. The calculation puts the spin magnetization at 0.00 μB per atom. The value obtained for the calculated formation energy is -0.3 eV/f.u.

a = 5.042 Å, b = 5.042 Å, c = 9.228 Å
α = 74.15°, β = 74.15°, γ = 60.00°
Atoms (fractional coordinates):
Pr 0.207 0.207 0.380
Pr 0.387 0.387 0.839
Pr 0.613 0.613 0.161
Ni 0.902 0.902 0.295
Mg 0.000 0.000 0.000
Pr 0.793 0.793 0.620
Ni 0.098 0.098 0.705